[1]
Here is crystalline K2ZnH6Ir at its relaxed geometry from OQMD. Energies are from PBE-GGA.

a b c (Å): 5.4584 5.4584 5.4584
angles (deg): 60.00 60.00 60.00
Fractional coordinates of all 10 atoms:
H 0.7758 0.2242 0.2242
H 0.2242 0.7758 0.2242
H 0.7758 0.7758 0.2242
H 0.2242 0.2242 0.7758
H 0.7758 0.2242 0.7758
H 0.2242 0.7758 0.7758
Ir 0.0000 0.0000 0.0000
K 0.2500 0.2500 0.2500
K 0.7500 0.7500 0.7500
Zn 0.5000 0.5000 0.5000

Properties
**Volume**: 11.50 Å³ per atom
**ρ**: 4.9 g/cm3
**Magnetization**: 0.00 μB/f.u.

[2]
Here is crystalline Li3H2Ir at its relaxed geometry from OQMD. Energies are from PBE-GGA.

a b c (Å): 2.6702 2.6702 8.9351
angles (deg): 90.00 90.00 120.00
Fractional coordinates of all 6 atoms:
H 0.3333 0.6667 0.1283
H 0.6667 0.3333 0.8717
Ir 0.0000 0.0000 0.5000
Li 0.0000 0.0000 0.0000
Li 0.6667 0.3333 0.2560
Li 0.3333 0.6667 0.7440

Properties
**Volume**: 9.20 Å³ per atom
**ρ**: 6.5 g/cm3
**Magnetization**: 0.01 μB/f.u.

Number 1: electronic total energy -3.431 eV/atom. Number 2: electronic total energy -3.893 eV/atom.